1.
# ScZn2In2 GGA-PBE relaxed
# symmetry: I4/mmm, No. 139
# E_form: -9 kJ per mole of atoms
# mass density: 6.432 g/cm³
# crystal system: tetragonal
# excess energy over the best structure of this formula in the dataset: 1.2 kJ per mole of atoms
data_ScZn2In2
_space_group_name_H-M_alt 'P 1'
_space_group_IT_number 1
_space_group_name_Hall 'P 1'
_cell_length_a 4.2495
_cell_length_b 4.2495
_cell_length_c 6.5287
_cell_angle_alpha 71.01
_cell_angle_beta 71.01
_cell_angle_gamma 90.00
loop_
_atom_site_label
_atom_site_fract_x
_atom_site_fract_y
_atom_site_fract_z
In1 0.7500 0.2500 0.5000
In2 0.2500 0.7500 0.5000
Zn1 0.5996 0.5996 0.8008
Sc1 0.0000 0.0000 0.0000
Zn2 0.4004 0.4004 0.1992


2.
# ScZn2In GGA-PBE relaxed
# symmetry: Cmmm, No. 65
# E_form: -13 kJ per mole of atoms
# mass density: 6.166 g/cm³
# crystal system: orthorhombic
data_ScZn2In
_space_group_name_H-M_alt 'P 1'
_space_group_IT_number 1
_space_group_name_Hall 'P 1'
_cell_length_a 3.3769
_cell_length_b 3.3769
_cell_length_c 6.8624
_cell_angle_alpha 90.00
_cell_angle_beta 90.00
_cell_angle_gamma 89.60
loop_
_atom_site_label
_atom_site_fract_x
_atom_site_fract_y
_atom_site_fract_z
Zn1 0.0000 0.0000 0.9963
Zn2 0.0000 0.0000 0.5037
Sc1 0.5000 0.5000 0.7500
In1 0.5000 0.5000 0.2500